Entry i
Entry from Alexandria: a geometry-optimized CrRe2Cl2 structure (PBE).

Cell lengths 4.1282, 4.1282, 5.8329 Å; angles 69.28, 69.28, 90.00 degrees
Atoms (fractional coordinates):
Re 0.7500 0.2500 0.5000
Re 0.2500 0.7500 0.5000
Cl 0.3678 0.3678 0.2645
Cl 0.6322 0.6322 0.7355
Cr 0.0000 0.0000 0.0000

Calculated values
spin magnetization	4.0	μB/f.u.
SG	I4/mmm, No. 139

***

Entry ii
Entry from Alexandria: a geometry-optimized CrRe2Cl2 structure (PBE).

Cell lengths 7.6093, 7.6093, 2.7675 Å; angles 90.00, 90.00, 90.00 degrees
Atoms (fractional coordinates):
Re 0.1965 0.6965 0.5000
Re 0.6965 0.8035 0.5000
Re 0.8035 0.3035 0.5000
Re 0.3035 0.1965 0.5000
Cl 0.3722 0.8722 0.0000
Cl 0.8722 0.6278 0.0000
Cl 0.6278 0.1278 0.0000
Cl 0.1278 0.3722 0.0000
Cr 0.0000 0.0000 0.0000
Cr 0.5000 0.5000 0.0000

Calculated values
spin magnetization	2.9	μB/f.u.
SG	P4/mbm, No. 127

***

Most stable: entry i. Least stable: entry ii.